No. 1
Compound: MnRe2Hg
Source: Alexandria
Functional: GGA-PBE
Structure: relaxed

```
4
Lattice="1.5403 -2.2258 0.0000 1.5403 2.2258 0.0000 0.0000 0.0000 9.2309" Properties=species:S:1:pos:R:3 pbc="T T T"
Mn 0.0000 0.0000 0.0000
Re 1.5403 0.0000 2.0128
Re 1.5403 0.0000 7.2181
Hg 0.0000 0.0000 4.6154
```

Results
As for the formation energy: 12.21 kcal/mol of atoms. The value obtained for the final energy is -8.0625 eV/atom.

***

No. 2
Compound: CsYW3
Source: Alexandria
Functional: GGA-PBE
Structure: relaxed

```
5
Lattice="5.1726 0.0000 0.0000 0.0000 5.1726 0.0000 0.0000 0.0000 5.1726" Properties=species:S:1:pos:R:3 pbc="T T T"
Cs 0.0000 0.0000 0.0000
Y 2.5863 2.5863 2.5863
W 0.0000 2.5863 2.5863
W 2.5863 0.0000 2.5863
W 2.5863 2.5863 0.0000
```

Results
As for the formation energy: 75.17 kcal/mol of atoms. The distance to the lowest polymorph of the same formula comes out at 0 meV/atom. The value obtained for the final energy is -5.9756 eV/atom.

***

No. 3
Compound: Cu2TeCl
Source: Alexandria
Functional: GGA-PBE
Structure: relaxed

```
4
Lattice="1.8864 1.0891 7.5652 -1.8864 1.0891 7.5652 0.0000 -2.1782 7.5652" Properties=species:S:1:pos:R:3 pbc="T T T"
Cu 0.0000 0.0000 0.0000
Cu 0.0000 0.0000 6.1462
Te 0.0000 0.0000 12.4293
Cl 0.0000 0.0000 16.1940
```

Results
The uncorrected formation energy comes out at -0.10 eV/atom. The distance to the lowest polymorph of the same formula comes out at 121 meV/atom. The value obtained for the final energy is -3.3996 eV/atom.

***

No. 4
Compound: Zr12In3Au
Source: Alexandria
Functional: GGA-PBE
Structure: relaxed

```
16
Lattice="4.4502 0.0000 0.0000 0.0000 4.4502 0.0000 0.0000 0.0000 17.8175" Properties=species:S:1:pos:R:3 pbc="T T T"
Zr 0.0000 0.0000 0.0000
Zr 0.0000 0.0000 4.4009
Zr 0.0000 0.0000 8.9087
Zr 0.0000 0.0000 13.4165
Zr 0.0000 2.2251 2.1702
Zr 0.0000 2.2251 6.6680
Zr 0.0000 2.2251 11.1495
Zr 0.0000 2.2251 15.6473
Zr 2.2251 0.0000 2.1702
Zr 2.2251 0.0000 6.6680
Zr 2.2251 0.0000 11.1495
Zr 2.2251 0.0000 15.6473
In 2.2251 2.2251 4.4030
In 2.2251 2.2251 8.9087
In 2.2251 2.2251 13.4145
Au 2.2251 2.2251 0.0000
```

Results
As for the formation energy: -5.76 kcal/mol of atoms. The value obtained for the final energy is -7.3792 eV/atom.

***

> Which value of final energy does entry 4 give?

-7.3792 eV/atom

***

Please write out number 2 again, unchanged.
Compound: CsYW3
Source: Alexandria
Functional: GGA-PBE
Structure: relaxed

```
5
Lattice="5.1726 0.0000 0.0000 0.0000 5.1726 0.0000 0.0000 0.0000 5.1726" Properties=species:S:1:pos:R:3 pbc="T T T"
Cs 0.0000 0.0000 0.0000
Y 2.5863 2.5863 2.5863
W 0.0000 2.5863 2.5863
W 2.5863 0.0000 2.5863
W 2.5863 2.5863 0.0000
```

Results
As for the formation energy: 75.17 kcal/mol of atoms. The distance to the lowest polymorph of the same formula comes out at 0 meV/atom. The value obtained for the final energy is -5.9756 eV/atom.

***

Repeat the second record exactly.
Compound: CsYW3
Source: Alexandria
Functional: GGA-PBE
Structure: relaxed

```
5
Lattice="5.1726 0.0000 0.0000 0.0000 5.1726 0.0000 0.0000 0.0000 5.1726" Properties=species:S:1:pos:R:3 pbc="T T T"
Cs 0.0000 0.0000 0.0000
Y 2.5863 2.5863 2.5863
W 0.0000 2.5863 2.5863
W 2.5863 0.0000 2.5863
W 2.5863 2.5863 0.0000
```

Results
As for the formation energy: 75.17 kcal/mol of atoms. The distance to the lowest polymorph of the same formula comes out at 0 meV/atom. The value obtained for the final energy is -5.9756 eV/atom.